Entry from Alexandria via LeMat-Bulk: an optimized crystal structure of Hf2MnAl5Pd2 (GGA-PBE).

Results
V, A^3/atom: 16.38
Uncorrected energy, eV/atom: -6.26

Cell lengths 2.9876, 10.4723, 10.4723 Å; angles 90.00, 90.00, 90.00 degrees
Fractional coordinates of all 20 atoms:
Hf 0.0000 0.6781 0.1781
Hf 0.0000 0.8219 0.6781
Hf 0.0000 0.3219 0.8219
Hf 0.0000 0.1781 0.3219
Mn 0.0000 0.0000 0.0000
Mn 0.0000 0.5000 0.5000
Al 0.5000 0.6907 0.4595
Al 0.5000 0.5405 0.6907
Al 0.5000 0.5000 0.0000
Al 0.5000 0.9595 0.1907
Al 0.5000 0.0405 0.8093
Al 0.5000 0.1907 0.0405
Al 0.5000 0.3093 0.5405
Al 0.5000 0.0000 0.5000
Al 0.5000 0.4595 0.3093
Al 0.5000 0.8093 0.9595
Pd 0.0000 0.3636 0.1364
Pd 0.0000 0.1364 0.6364
Pd 0.0000 0.6364 0.8636
Pd 0.0000 0.8636 0.3636